1.
DFT (PBE-GGA) results for a relaxed PmEr3Bi3 crystal.

The total DFT energy (no corrections) comes out at -4.9247 eV/atom. Its calculated formation energy is -627 meV per atom. Its calculated density is 9.3 g/cm3. The calculation puts the size of the total moment at 0.000 μB/cell.

Cell lengths 9.1505, 9.1505, 18.7811 Å; angles 90.00, 90.00, 120.00 degrees
Space group R-3 (No. 148, hexagonal axes)
One atom of each set of equivalent atoms:
Pm1 0.0000 0.0000 0.1659 (multiplicity 6)
Er1 0.9996 0.2577 0.4191 (multiplicity 18)
Bi1 0.0019 0.6148 0.4139 (multiplicity 18)

2.
DFT (PBE-GGA) results for a relaxed Th3ZnCu4 crystal.

The total DFT energy (no corrections) comes out at -4.9727 eV/atom. Its calculated formation energy is 17 meV per atom. Its calculated density is 9.4 g/cm3. The calculation puts the size of the total moment at 0.000 μB/cell.

Cell lengths 3.7786, 6.2246, 15.2119 Å; angles 90.00, 90.00, 90.00 degrees
Space group Immm (No. 71)
One atom of each set of equivalent atoms:
Th1 0.0000 0.0000 0.0000 (multiplicity 2)
Th2 0.0000 0.5000 0.2041 (multiplicity 4)
Zn1 0.0000 0.0000 0.5000 (multiplicity 2)
Cu1 0.0000 0.2943 0.3790 (multiplicity 8)

3.
DFT (PBE-GGA) results for a relaxed Mg2GaBi crystal.

The total DFT energy (no corrections) comes out at -2.6092 eV/atom. Its calculated formation energy is -85 meV per atom. Its calculated density is 5.8 g/cm3. The calculation puts the size of the total moment at 0.000 μB/cell.

Cell lengths 3.6512, 3.6512, 7.0275 Å; angles 90.00, 90.00, 90.00 degrees
Space group P4/mmm (No. 123)
One atom of each set of equivalent atoms:
Mg1 0.0000 0.0000 0.2189 (multiplicity 2)
Ga1 0.5000 0.5000 0.0000 (multiplicity 1)
Bi1 0.5000 0.5000 0.5000 (multiplicity 1)

4.
DFT (PBE-GGA) results for a relaxed TaNiGe2 crystal.

The total DFT energy (no corrections) comes out at -6.5809 eV/atom. Its calculated formation energy is 136 meV per atom. Its calculated density is 10.5 g/cm3. The calculation puts the size of the total moment at 0.000 μB/cell.

Cell lengths 6.2525, 6.2525, 6.2525 Å; angles 90.00, 90.00, 90.00 degrees
Space group Fm-3m (No. 225)
One atom of each set of equivalent atoms:
Ta1 0.0000 0.0000 0.0000 (multiplicity 4)
Ni1 0.0000 0.0000 0.5000 (multiplicity 4)
Ge1 0.2500 0.2500 0.2500 (multiplicity 8)

Question: Which formula does entry 2 have?
Answer: Th3ZnCu4